GGA-PBE ScSiSe2, relaxed; ΔE_f (raw) = -1.86 eV per formula unit; magnetic moment = 0.01 μB per formula unit; calculated volume = 19.2 Å³ per atom; E = -5.15 eV/atom
1.0
3.335 -3.342 0.000
3.335 3.342 0.000
0.000 0.000 3.453
Sc Si Se
1 1 2
Cartesian
0.000 0.000 0.000
3.335 0.000 0.000
1.668 1.671 1.727
1.668 -1.671 1.727